LiVCrP2H2O10: relaxed, PBE with a Hubbard U.

The structure in CIF format:
```
data_LiVCrP2H2O10
_cell_length_a 5.261
_cell_length_b 6.528
_cell_length_c 7.915
_cell_angle_alpha 108.49
_cell_angle_beta 88.51
_cell_angle_gamma 122.24
_symmetry_space_group_name_H-M 'P 1'
_symmetry_Int_Tables_number 1
loop_
_symmetry_equiv_pos_as_xyz
'x,y,z'
loop_
_atom_site_label
_atom_site_type_symbol
_atom_site_fract_x
_atom_site_fract_y
_atom_site_fract_z
O1 O 0.419 0.712 0.723
O2 O 0.933 0.702 0.654
O3 O 0.642 0.745 0.426
O4 O 0.327 0.290 0.845
O5 O 0.616 0.251 0.337
O6 O 0.071 0.726 0.963
O7 O 0.840 0.234 0.054
O8 O 0.366 0.260 0.665
O9 O 0.646 0.693 0.252
O10 O 0.110 0.268 0.340
Li1 Li 0.705 0.474 0.028
V1 V 0.484 0.441 0.514
P1 P 0.916 0.339 0.262
P2 P 0.093 0.626 0.767
H1 H 0.084 0.611 0.315
H2 H 0.925 0.353 0.691
Cr1 Cr 0.893 0.995 0.840
```

space-group type: P1 (1)
total magnetization: 6.0 μB/cell
energy above the lowest structure with this stoichiometry: 3.04 kJ/mol of atoms
VASP energy: -6.302 eV/atom